## Zn2NiRh (meta-GGA SCAN)

Data for Zn2NiRh at its PBEsol-relaxed geometry.

Cell: 4.1222 4.1222 4.1222 Å, 60.00 60.00 60.00°
Last column: nearest neighbours and their distance in Å.
Element x y z (fractional)
Zn1 0.2500 0.2500 0.2500  4 Ni 2.52, 4 Rh 2.52
Zn2 0.7500 0.7500 0.7500  4 Rh 2.52, 4 Ni 2.52
Ni1 0.0000 0.0000 0.0000  8 Zn 2.52
Rh1 0.5000 0.5000 0.5000  8 Zn 2.52

Symmetry = No. 225

=====

## ZnNiRh2 (meta-GGA SCAN)

Data for ZnNiRh2 at its PBEsol-relaxed geometry.

Cell: 2.6145 2.6145 8.5895 Å, 90.00 90.00 118.43°
Last column: nearest neighbours and their distance in Å.
Element x y z (fractional)
Rh1 0.5000 0.5000 0.7449  2 Zn 2.56, 8 Rh 2.61-2.68
Rh2 0.0000 0.0000 0.0097  2 Ni 2.49, 8 Rh 2.61-2.68
Ni1 0.5000 0.5000 0.2549  2 Zn 2.43, 2 Rh 2.49, 6 Ni 2.61-2.68
Zn1 0.0000 0.0000 0.4906  2 Ni 2.43, 2 Rh 2.56, 6 Zn 2.61-2.68

Symmetry = No. 35

=====

## ZnNiRh2 (meta-GGA SCAN)

Data for ZnNiRh2 at its PBEsol-relaxed geometry.

Cell: 2.6211 2.6211 8.5096 Å, 90.00 90.00 117.49°
Last column: nearest neighbours and their distance in Å.
Element x y z (fractional)
Zn1 0.5000 0.5000 0.5000  4 Rh 2.55, 6 Zn 2.62-2.72
Ni1 0.5000 0.5000 0.0000  4 Rh 2.50, 6 Ni 2.62-2.72
Rh1 0.0000 0.0000 0.2463  2 Ni 2.50, 2 Zn 2.55, 6 Rh 2.62-2.72
Rh2 0.0000 0.0000 0.7537  2 Ni 2.50, 2 Zn 2.55, 6 Rh 2.62-2.72

Symmetry = No. 65

=====

## ZnNiRh2 (meta-GGA SCAN)

Data for ZnNiRh2 at its PBEsol-relaxed geometry.

Cell: 2.6745 2.6745 7.0630 Å, 90.00 90.00 90.00°
Last column: nearest neighbours and their distance in Å.
Element x y z (fractional)
Zn1 0.0000 0.0000 0.5129  4 Ni 2.51, 4 Rh 2.65, 4 Zn 2.67
Ni1 0.5000 0.5000 0.7468  4 Zn 2.51, 4 Rh 2.56, 4 Ni 2.67
Rh1 0.0000 0.0000 0.9904  4 Ni 2.56, 8 Rh 2.63-2.67
Rh2 0.5000 0.5000 0.2499  8 Rh 2.63-2.67, 4 Zn 2.65

Symmetry = No. 99

=====

## ZnNiRh2 (meta-GGA SCAN)

Data for ZnNiRh2 at its PBEsol-relaxed geometry.

Cell: 2.6521 4.4523 4.5869 Å, 99.93 90.00 107.33°
Last column: nearest neighbours and their distance in Å.
Element x y z (fractional)
Rh1 0.7526 0.5052 0.7567  3 Ni 2.56-2.59, 3 Zn 2.59-2.62, 6 Rh 2.60-2.70
Rh2 0.2474 0.4948 0.2433  3 Ni 2.56-2.59, 3 Zn 2.59-2.62, 6 Rh 2.60-2.70
Zn1 0.0000 0.0000 0.5000  6 Rh 2.59-2.62, 4 Ni 2.65, 2 Zn 2.65
Ni1 0.5000 0.0000 0.0000  6 Rh 2.56-2.59, 4 Zn 2.65, 2 Ni 2.65

Symmetry = No. 12

=====

## Zn2NiRh (meta-GGA SCAN)

Data for Zn2NiRh at its PBEsol-relaxed geometry.

Cell: 3.0073 4.0626 4.0626 Å, 90.00 90.00 90.00°
Last column: nearest neighbours and their distance in Å.
Element x y z (fractional)
Ni1 0.5000 0.5000 0.5000  8 Zn 2.53
Rh1 0.5000 0.0000 0.0000  8 Zn 2.53
Zn1 0.0000 0.5000 0.0000  4 Ni 2.53, 4 Rh 2.53
Zn2 0.0000 0.0000 0.5000  4 Ni 2.53, 4 Rh 2.53

Symmetry = No. 123

=====

## ZnNiRh2 (meta-GGA SCAN)

Data for ZnNiRh2 at its PBEsol-relaxed geometry.

Cell: 2.6821 4.4370 4.5418 Å, 100.63 107.17 90.00°
Last column: nearest neighbours and their distance in Å.
Element x y z (fractional)
Rh1 0.2520 0.7606 0.5040  4 Ni 2.57-2.61, 5 Rh 2.59-2.68, 3 Zn 2.64-2.67
Rh2 0.0017 0.9970 0.0035  4 Zn 2.57-2.62, 5 Rh 2.59-2.68, 3 Ni 2.60-2.66
Ni1 0.7490 0.2539 0.4979  7 Rh 2.57-2.66, 3 Zn 2.58-2.59, 2 Ni 2.68
Zn1 0.4973 0.4885 0.9946  7 Rh 2.57-2.67, 3 Ni 2.58-2.59, 2 Zn 2.68

Symmetry = No. 8

=====

## Zn2NiRh (meta-GGA SCAN)

Data for Zn2NiRh at its PBEsol-relaxed geometry.

Cell: 4.1396 4.1396 4.1396 Å, 60.00 60.00 60.00°
Last column: nearest neighbours and their distance in Å.
Element x y z (fractional)
Rh1 0.2500 0.2500 0.2500  4 Ni 2.53, 4 Zn 2.53
Zn1 0.0000 0.0000 0.0000  4 Rh 2.53, 4 Zn 2.53
Zn2 0.7500 0.7500 0.7500  4 Zn 2.53, 4 Ni 2.53
Ni1 0.5000 0.5000 0.5000  4 Zn 2.53, 4 Rh 2.53

Symmetry = No. 216

=====

## ZnNiRh2 (meta-GGA SCAN)

Data for ZnNiRh2 at its PBEsol-relaxed geometry.

Cell: 2.9321 2.9312 5.9256 Å, 90.00 90.00 90.00°
Last column: nearest neighbours and their distance in Å.
Element x y z (fractional)
Ni1 0.5000 0.5000 0.5000  8 Rh 2.52
Rh1 0.0000 0.0000 0.2585  4 Ni 2.52, 4 Zn 2.58
Rh2 0.0000 0.0000 0.7415  4 Ni 2.52, 4 Zn 2.58
Zn1 0.5000 0.5000 0.0000  8 Rh 2.58

Symmetry = No. 123

=====

## ZnNiRh2 (meta-GGA SCAN)

Data for ZnNiRh2 at its PBEsol-relaxed geometry.

Cell: 2.6627 3.6909 5.1644 Å, 90.00 90.00 90.00°
Last column: nearest neighbours and their distance in Å.
Element x y z (fractional)
Zn1 0.9998 0.0000 0.5079  6 Rh 2.51-2.65, 4 Ni 2.60, 2 Zn 2.66
Rh1 0.5002 0.5000 0.2471  2 Ni 2.57-2.60, 6 Rh 2.62-2.66, 4 Zn 2.64
Rh2 0.0002 0.0000 0.9948  2 Zn 2.51-2.65, 4 Ni 2.60, 6 Rh 2.62-2.66
Ni1 0.4999 0.5000 0.7502  6 Rh 2.57-2.60, 4 Zn 2.60, 2 Ni 2.66

Symmetry = No. 25

=====

## ZnNiRh2 (meta-GGA SCAN)

Data for ZnNiRh2 at its PBEsol-relaxed geometry.

Cell: 3.6770 3.6770 4.5498 Å, 113.83 113.83 90.00°
Last column: nearest neighbours and their distance in Å.
Element x y z (fractional)
Zn1 0.5000 0.5000 0.0000  8 Rh 2.60-2.62, 4 Ni 2.62
Ni1 0.2500 0.7500 0.5000  8 Rh 2.60-2.62, 4 Zn 2.62
Rh1 0.7500 0.2500 0.5000  4 Ni 2.60, 4 Rh 2.62, 4 Zn 2.62
Rh2 0.0000 0.0000 0.0000  4 Zn 2.60, 4 Ni 2.62, 4 Rh 2.62

Symmetry = No. 119

=====

## ZrNi4Rh (meta-GGA SCAN)

Data for ZrNi4Rh at its PBEsol-relaxed geometry.

Cell: 4.7129 4.7129 4.7129 Å, 60.00 60.00 60.00°
Last column: nearest neighbours and their distance in Å.
Element x y z (fractional)
Ni1 0.3760 0.3760 0.8719  6 Ni 2.34-2.38
Ni2 0.8719 0.3760 0.3760  6 Ni 2.34-2.38
Ni3 0.3760 0.8719 0.3760  6 Ni 2.34-2.38
Ni4 0.3760 0.3760 0.3760  6 Ni 2.34-2.38
Zr1 0.0000 0.0000 0.0000  12 Ni 2.77, 4 Rh 2.89
Rh1 0.7500 0.7500 0.7500  12 Ni 2.76, 4 Zr 2.89

Symmetry = No. 216

=====

## Zr2Ni2Rh (meta-GGA SCAN)

Data for Zr2Ni2Rh at its PBEsol-relaxed geometry.

Cell: 3.2707 6.8250 6.8250 Å, 90.00 90.00 90.00°
Last column: nearest neighbours and their distance in Å.
Element x y z (fractional)
Rh1 0.0000 0.0000 0.0000  4 Ni 2.71, 8 Zr 2.99
Rh2 0.0000 0.5000 0.5000  4 Ni 2.71, 8 Zr 2.99
Zr1 0.5000 0.8211 0.3211  6 Ni 2.52-2.66
Zr2 0.5000 0.1789 0.6789  6 Ni 2.52-2.66
Zr3 0.5000 0.6789 0.8211  6 Ni 2.52-2.66
Zr4 0.5000 0.3211 0.1789  6 Ni 2.52-2.66
Ni1 0.0000 0.8772 0.6228  1 Ni 2.37, 2 Zr 2.52
Ni2 0.0000 0.1228 0.3772  1 Ni 2.37, 2 Zr 2.52
Ni3 0.0000 0.3772 0.8772  1 Ni 2.37, 2 Zr 2.52
Ni4 0.0000 0.6228 0.1228  1 Ni 2.37, 2 Zr 2.52

Symmetry = No. 127

=====

## ZrNiRh2 (meta-GGA SCAN)

Data for ZrNiRh2 at its PBEsol-relaxed geometry.

Cell: 2.7706 4.2375 5.1025 Å, 90.00 103.79 90.00°
Last column: nearest neighbours and their distance in Å.
Element x y z (fractional)
Ni1 0.0000 0.5000 0.5000  4 Rh 2.49, 2 Zr 2.60, 2 Ni 2.77
Zr1 0.5000 0.5000 0.0000  2 Ni 2.60, 2 Zr 2.77, 4 Rh 2.83
Rh1 0.8467 0.0000 0.7249  2 Ni 2.49, 5 Rh 2.62-2.77
Rh2 0.1533 0.0000 0.2751  2 Ni 2.49, 5 Rh 2.62-2.77

Symmetry = No. 10

=====

## ZrNiRh2 (meta-GGA SCAN)

Data for ZrNiRh2 at its PBEsol-relaxed geometry.

Cell: 2.8940 3.6840 5.4272 Å, 90.00 89.97 90.00°
Last column: nearest neighbours and their distance in Å.
Element x y z (fractional)
Zr1 0.0000 0.0000 0.5051  6 Rh 2.60-2.83, 4 Ni 2.75, 2 Zr 2.89
Rh1 0.5000 0.5000 0.2387  1 Ni 2.53, 4 Rh 2.72, 4 Zr 2.75
Rh2 0.0000 0.0000 0.9844  2 Zr 2.60-2.83, 4 Ni 2.61, 6 Rh 2.72-2.89
Ni1 0.5000 0.5000 0.7718  5 Rh 2.53-2.61, 4 Zr 2.75

Symmetry = No. 25

=====

## ZrNi2Rh (meta-GGA SCAN)

Data for ZrNi2Rh at its PBEsol-relaxed geometry.

Cell: 3.2251 3.2251 5.2824 Å, 90.00 90.00 90.00°
Last column: nearest neighbours and their distance in Å.
Element x y z (fractional)
Rh1 0.5000 0.5000 0.0000  8 Ni 2.60, 2 Zr 2.64
Ni1 0.0000 0.0000 0.7630  2 Ni 2.50-2.78, 4 Rh 2.60, 4 Zr 2.67
Ni2 0.0000 0.0000 0.2370  2 Ni 2.50-2.78, 4 Rh 2.60, 4 Zr 2.67
Zr1 0.5000 0.5000 0.5000  2 Rh 2.64, 8 Ni 2.67

Symmetry = No. 123

=====

## ZrNi2Rh (meta-GGA SCAN)

Data for ZrNi2Rh at its PBEsol-relaxed geometry.

Cell: 2.7163 2.7163 8.7952 Å, 81.12 81.12 60.00°
Last column: nearest neighbours and their distance in Å.
Element x y z (fractional)
Ni1 0.2451 0.2451 0.2648  3 Rh 2.57, 6 Ni 2.72, 3 Zr 2.78
Ni2 0.7549 0.7549 0.7352  3 Rh 2.57, 6 Ni 2.72, 3 Zr 2.78
Zr1 0.0000 0.0000 0.0000  6 Zr 2.72, 6 Ni 2.78
Rh1 0.5000 0.5000 0.5000  6 Ni 2.57, 6 Rh 2.72

Symmetry = No. 166

=====

## ZrNi2Rh (meta-GGA SCAN)

Data for ZrNi2Rh at its PBEsol-relaxed geometry.

Cell: 3.7789 3.7792 4.6225 Å, 114.12 114.13 90.00°
Last column: nearest neighbours and their distance in Å.
Element x y z (fractional)
Ni1 0.7500 0.7500 0.5000  4 Zr 2.67, 4 Rh 2.67, 4 Ni 2.67
Ni2 0.2500 0.2500 0.5000  4 Zr 2.67, 4 Rh 2.67, 4 Ni 2.67
Zr1 0.0000 0.5000 0.0000  8 Ni 2.67, 4 Rh 2.67
Rh1 0.5000 0.0000 0.0000  8 Ni 2.67, 4 Zr 2.67

Symmetry = No. 139

=====

## Ni3Ru (meta-GGA SCAN)

Data for Ni3Ru at its PBEsol-relaxed geometry.

Cell: 2.5209 3.5473 4.9783 Å, 90.00 90.00 90.00°
Last column: nearest neighbours and their distance in Å.
Element x y z (fractional)
Ni1 0.5000 0.5000 0.5000  2 Ru 2.49, 10 Ni 2.50-2.52
Ni2 0.0000 0.0000 0.7475  8 Ni 2.46-2.52, 4 Ru 2.51
Ni3 0.0000 0.0000 0.2525  8 Ni 2.46-2.52, 4 Ru 2.51
Ru1 0.5000 0.5000 0.0000  10 Ni 2.49-2.51, 2 Ru 2.52

Symmetry = No. 47

=====

## Ni3Ru (meta-GGA SCAN)

Data for Ni3Ru at its PBEsol-relaxed geometry.

Cell: 2.5125 4.3213 4.3506 Å, 99.31 90.00 106.90°
Last column: nearest neighbours and their distance in Å.
Element x y z (fractional)
Ni1 0.7494 0.4989 0.7487  3 Ru 2.49-2.51, 9 Ni 2.49-2.52
Ni2 0.0000 0.0000 0.5000  8 Ni 2.49-2.51, 4 Ru 2.51
Ni3 0.2506 0.5011 0.2513  3 Ru 2.49-2.51, 9 Ni 2.49-2.52
Ru1 0.5000 0.0000 0.0000  10 Ni 2.49-2.51, 2 Ru 2.51

Symmetry = No. 12

=====

## Ni3Ru (meta-GGA SCAN)

Data for Ni3Ru at its PBEsol-relaxed geometry.

Cell: 4.3777 5.0169 8.1282 Å, 90.00 90.00 90.00°
Last column: nearest neighbours and their distance in Å.
Element x y z (fractional)
Ni1 0.4161 0.6338 0.2500  4 Ru 2.47-2.57, 8 Ni 2.48-2.51
Ni2 0.9161 0.8662 0.2500  4 Ru 2.47-2.57, 8 Ni 2.48-2.51
Ni3 0.2515 0.3797 0.5007  9 Ni 2.48-2.55, 3 Ru 2.49-2.52
Ni4 0.2515 0.3797 0.9993  9 Ni 2.48-2.55, 3 Ru 2.49-2.52
Ni5 0.5839 0.3662 0.7500  4 Ru 2.47-2.57, 8 Ni 2.48-2.51
Ni6 0.7515 0.1203 0.9993  9 Ni 2.48-2.55, 3 Ru 2.49-2.52
Ni7 0.0839 0.1338 0.7500  4 Ru 2.47-2.57, 8 Ni 2.48-2.51
Ni8 0.7485 0.6203 0.0007  9 Ni 2.48-2.55, 3 Ru 2.49-2.52
Ni9 0.7515 0.1203 0.5007  9 Ni 2.48-2.55, 3 Ru 2.49-2.52
Ni10 0.7485 0.6203 0.4993  9 Ni 2.48-2.55, 3 Ru 2.49-2.52
Ni11 0.2485 0.8797 0.0007  9 Ni 2.48-2.55, 3 Ru 2.49-2.52
Ni12 0.2485 0.8797 0.4993  9 Ni 2.48-2.55, 3 Ru 2.49-2.52
Ru1 0.4229 0.1258 0.2500  10 Ni 2.47-2.57, 2 Ru 2.52
Ru2 0.5771 0.8742 0.7500  10 Ni 2.47-2.57, 2 Ru 2.52
Ru3 0.9229 0.3742 0.2500  10 Ni 2.47-2.57, 2 Ru 2.52
Ru4 0.0771 0.6258 0.7500  10 Ni 2.47-2.57, 2 Ru 2.52

Symmetry = No. 62

=====

## Ni3Ru (meta-GGA SCAN)

Data for Ni3Ru at its PBEsol-relaxed geometry.

Cell: 3.9935 3.9935 3.9935 Å, 60.00 60.00 60.00°
Last column: nearest neighbours and their distance in Å.
Element x y z (fractional)
Ru1 0.0000 0.0000 0.0000  8 Ni 2.45
Ni1 0.2500 0.2500 0.2500  4 Ru 2.45, 4 Ni 2.45
Ni2 0.7500 0.7500 0.7500  4 Ni 2.45, 4 Ru 2.45
Ni3 0.5000 0.5000 0.5000  8 Ni 2.45

Symmetry = No. 225

=====

## Ni2Ru (meta-GGA SCAN)

Data for Ni2Ru at its PBEsol-relaxed geometry.

Cell: 2.5126 4.1694 4.1694 Å, 90.00 90.00 90.00°
Last column: nearest neighbours and their distance in Å.
Element x y z (fractional)
Ru1 0.0000 0.0000 0.0000  8 Ni 2.43, 2 Ru 2.51
Ni1 0.5000 0.0000 0.5000  4 Ru 2.43, 2 Ni 2.51
Ni2 0.5000 0.5000 0.0000  4 Ru 2.43, 2 Ni 2.51

Symmetry = No. 123

=====

## NiRu (meta-GGA SCAN)

Data for NiRu at its PBEsol-relaxed geometry.

Cell: 4.1270 4.5135 5.0950 Å, 90.00 90.00 90.00°
Last column: nearest neighbours and their distance in Å.
Element x y z (fractional)
Ru1 0.2500 0.5894 0.6255  8 Ni 2.52-2.59, 4 Ru 2.56-2.59
Ru2 0.7500 0.9106 0.1255  8 Ni 2.52-2.59, 4 Ru 2.56-2.59
Ru3 0.7500 0.4106 0.3745  8 Ni 2.52-2.59, 4 Ru 2.56-2.59
Ru4 0.2500 0.0894 0.8745  8 Ni 2.52-2.59, 4 Ru 2.56-2.59
Ni1 0.2500 0.0865 0.3790  8 Ru 2.52-2.59, 4 Ni 2.53-2.61
Ni2 0.2500 0.5865 0.1210  8 Ru 2.52-2.59, 4 Ni 2.53-2.61
Ni3 0.7500 0.4135 0.8790  8 Ru 2.52-2.59, 4 Ni 2.53-2.61
Ni4 0.7500 0.9135 0.6210  8 Ru 2.52-2.59, 4 Ni 2.53-2.61

Symmetry = No. 62

=====

## Ni4Ru (meta-GGA SCAN)

Data for Ni4Ru at its PBEsol-relaxed geometry.

Cell: 3.4994 4.3206 4.3206 Å, 80.56 66.11 66.11°
Last column: nearest neighbours and their distance in Å.
Element x y z (fractional)
Ni1 0.8007 0.5969 0.8018  9 Ni 2.47-2.51, 3 Ru 2.48-2.49
Ni2 0.1993 0.4031 0.1982  9 Ni 2.47-2.51, 3 Ru 2.48-2.49
Ni3 0.6024 0.1982 0.5969  9 Ni 2.47-2.51, 3 Ru 2.48-2.49
Ni4 0.3976 0.8018 0.4031  9 Ni 2.47-2.51, 3 Ru 2.48-2.49
Ru1 0.0000 0.0000 0.0000  12 Ni 2.48-2.49

Symmetry = No. 87

=====

## NiRu (meta-GGA SCAN)

Data for NiRu at its PBEsol-relaxed geometry.

Cell: 2.5853 4.3806 4.4607 Å, 99.95 106.85 90.00°
Last column: nearest neighbours and their distance in Å.
Element x y z (fractional)
Ni1 0.6267 0.8860 0.2535  5 Ni 2.52-2.59, 7 Ru 2.52-2.60
Ni2 0.3733 0.1140 0.7465  5 Ni 2.52-2.59, 7 Ru 2.52-2.60
Ru1 0.8763 0.6207 0.7525  7 Ni 2.52-2.60, 5 Ru 2.53-2.59
Ru2 0.1237 0.3793 0.2475  7 Ni 2.52-2.60, 5 Ru 2.53-2.59

Symmetry = No. 12

=====

## NiRu (meta-GGA SCAN)

Data for NiRu at its PBEsol-relaxed geometry.

Cell: 3.5840 3.5840 4.4817 Å, 113.57 113.57 90.00°
Last column: nearest neighbours and their distance in Å.
Element x y z (fractional)
Ni1 0.2500 0.7500 0.5000  8 Ru 2.53-2.57, 4 Ni 2.57
Ni2 0.0000 0.0000 0.0000  8 Ru 2.53-2.57, 4 Ni 2.57
Ru1 0.7500 0.2500 0.5000  8 Ni 2.53-2.57, 4 Ru 2.57
Ru2 0.5000 0.5000 0.0000  8 Ni 2.53-2.57, 4 Ru 2.57

Symmetry = No. 141

=====

## Ni2Ru (meta-GGA SCAN)

Data for Ni2Ru at its PBEsol-relaxed geometry.

Cell: 3.5560 3.5682 5.6650 Å, 71.64 90.00 90.00°
Last column: nearest neighbours and their distance in Å.
Element x y z (fractional)
Ru1 0.7500 0.9165 0.1671  10 Ni 2.50-2.55, 2 Ru 2.53
Ru2 0.2500 0.0835 0.8329  10 Ni 2.50-2.55, 2 Ru 2.53
Ni1 0.7500 0.5837 0.8327  6 Ni 2.50-2.55, 6 Ru 2.52-2.53
Ni2 0.2500 0.7470 0.5060  8 Ni 2.50-2.55, 4 Ru 2.50-2.55
Ni3 0.2500 0.4163 0.1673  6 Ni 2.50-2.55, 6 Ru 2.52-2.53
Ni4 0.7500 0.2530 0.4940  8 Ni 2.50-2.55, 4 Ru 2.50-2.55

Symmetry = No. 63

=====

## Ni7Ru (meta-GGA SCAN)

Data for Ni7Ru at its PBEsol-relaxed geometry.

Cell: 4.9620 4.9620 4.9620 Å, 60.00 60.00 60.00°
Last column: nearest neighbours and their distance in Å.
Element x y z (fractional)
Ru1 0.0000 0.0000 0.0000  12 Ni 2.48
Ni1 0.5000 0.0000 0.5000  10 Ni 2.48, 2 Ru 2.48
Ni2 0.0000 0.5000 0.5000  10 Ni 2.48, 2 Ru 2.48
Ni3 0.5000 0.5000 0.5000  12 Ni 2.48
Ni4 0.0000 0.0000 0.5000  10 Ni 2.48, 2 Ru 2.48
Ni5 0.5000 0.0000 0.0000  10 Ni 2.48, 2 Ru 2.48
Ni6 0.0000 0.5000 0.0000  2 Ru 2.48, 10 Ni 2.48
Ni7 0.5000 0.5000 0.0000  10 Ni 2.48, 2 Ru 2.48

Symmetry = No. 225

=====

no.,energy (eV/atom),M_tot (μB per formula unit)
1,-19.585,0.07
2,-24.232,1.17
3,-24.285,1.62
4,-24.408,1.30
5,-24.443,1.45
6,-19.585,0.00
7,-24.426,0.00
8,-19.399,0.00
9,-24.477,2.30
10,-24.402,0.00
11,-24.447,0.00
12,-21.925,1.92
13,-26.116,0.00
14,-28.910,0.00
15,-28.997,0.00
16,-24.486,0.00
17,-23.989,1.83
18,-24.692,1.00
19,-20.687,0.00
20,-20.710,2.33
21,-20.714,2.66
22,-20.596,3.93
23,-21.730,2.68
24,-25.393,0.00
25,-19.786,0.00
26,-25.365,0.00
27,-25.395,0.00
28,-22.252,0.00
29,-18.433,7.12